First-principles (PBE) data for an optimized crystal structure of FeCoCu2, as listed in Alexandria via LeMat-Bulk.

Lattice parameters (Å, degrees): 4.3321 4.3321 4.3321 130.09 130.09 73.26
With the nearest neighbours (Å) after each atom.
Sites, in units of the cell vectors:
Fe  0.5000  0.5000  0.0000  8 Cu 2.52-2.58, 4 Co 2.52
Cu  0.0000  0.0000  0.0000  4 Co 2.52, 4 Cu 2.52, 4 Fe 2.58
Cu  0.2500  0.7500  0.5000  4 Fe 2.52, 4 Cu 2.52, 4 Co 2.58
Co  0.7500  0.2500  0.5000  8 Cu 2.52-2.58, 4 Fe 2.52

Output
The value obtained for the formation energy is 43 kJ/mol of formula units. The magnetic moment is 4.20 μB/f.u. The value obtained for the energy above the lowest structure with this stoichiometry is 0.027 eV/atom. The density of states at the Fermi level is 2.537 states/eV/f.u. As for the energy: -23.31 eV for the cell shown.

---

First-principles (PBE) data for an optimized crystal structure of Fe3CoCu, as listed in Alexandria via LeMat-Bulk.

Lattice parameters (Å, degrees): 4.3006 4.3006 4.3006 90.00 90.00 90.00
With the nearest neighbours (Å) after each atom.
Sites, in units of the cell vectors:
Fe  0.5000  0.0000  0.0000  2 Co 2.15
Fe  0.0000  0.5000  0.0000  2 Co 2.15
Cu  0.5000  0.5000  0.5000  12 Fe 3.04
Co  0.0000  0.0000  0.0000  6 Fe 2.15
Fe  0.0000  0.0000  0.5000  2 Co 2.15

Output
The value obtained for the formation energy is 518 kJ/mol of formula units. The magnetic moment is 10.17 μB/f.u. The value obtained for the energy above the lowest structure with this stoichiometry is 0.000 eV/atom. The density of states at the Fermi level is 7.761 states/eV/f.u. As for the energy: -31.23 eV for the cell shown.

---

First-principles (PBE) data for an optimized crystal structure of FeCoCu2, as listed in Alexandria via LeMat-Bulk.

Lattice parameters (Å, degrees): 2.5284 2.5284 7.3006 90.00 90.00 90.00
With the nearest neighbours (Å) after each atom.
Sites, in units of the cell vectors:
Fe  0.0000  0.0000  0.5076  4 Co 2.50, 4 Fe 2.53, 4 Cu 2.59
Co  0.5000  0.5000  0.7464  4 Fe 2.50, 4 Co 2.53, 4 Cu 2.55
Cu  0.5000  0.5000  0.2501  8 Cu 2.53-2.58, 4 Fe 2.59
Cu  0.0000  0.0000  0.9959  8 Cu 2.53-2.58, 4 Co 2.55

Output
The value obtained for the formation energy is 39 kJ/mol of formula units. The magnetic moment is 4.15 μB/f.u. The value obtained for the energy above the lowest structure with this stoichiometry is 0.014 eV/atom. The density of states at the Fermi level is 4.088 states/eV/f.u. As for the energy: -23.36 eV for the cell shown.

---

First-principles (PBE) data for an optimized crystal structure of FeCoCu2, as listed in Alexandria via LeMat-Bulk.

Lattice parameters (Å, degrees): 3.7712 3.5169 3.5169 90.00 90.00 90.00
With the nearest neighbours (Å) after each atom.
Sites, in units of the cell vectors:
Cu  0.0000  0.0000  0.0000  4 Cu 2.49, 4 Fe 2.58, 4 Co 2.58
Co  0.5000  0.0000  0.5000  4 Fe 2.49, 8 Cu 2.58
Fe  0.5000  0.5000  0.0000  4 Co 2.49, 8 Cu 2.58
Cu  0.0000  0.5000  0.5000  4 Cu 2.49, 4 Fe 2.58, 4 Co 2.58

Output
The value obtained for the formation energy is 47 kJ/mol of formula units. The magnetic moment is 4.37 μB/f.u. The value obtained for the energy above the lowest structure with this stoichiometry is 0.037 eV/atom. The density of states at the Fermi level is 2.937 states/eV/f.u. As for the energy: -23.27 eV for the cell shown.